DFT (GGA-PBE) results for a geometry-optimized Th2MgIn structure.

a b c (Å): 3.352 3.352 12.659
angles (deg): 82.39 82.39 60.00
Element x y z (fractional)
Mg (0.500, 0.500, 0.500)
Th (0.089, 0.089, 0.734)
Th (0.911, 0.911, 0.266)
In (0.000, 0.000, 0.000)

Values from the calculation:
VASP energy = -4.591 eV per atom
Symmetry = R-3m (166)
DFT formation energy = 202 meV/atom

DFT (GGA-PBE) results for a geometry-optimized Y4OsPt structure.

a b c (Å): 6.335 7.931 7.931
angles (deg): 110.50 108.33 108.33
Element x y z (fractional)
Y (0.773, 0.638, 0.764)
Y (0.095, 0.950, 0.300)
Y (0.727, 0.236, 0.362)
Y (0.405, 0.700, 0.050)
Y (0.595, 0.300, 0.950)
Y (0.273, 0.764, 0.638)
Y (0.905, 0.050, 0.700)
Y (0.227, 0.362, 0.236)
Os (0.250, 0.001, 0.999)
Os (0.750, 0.999, 0.001)
Pt (0.750, 0.637, 0.363)
Pt (0.250, 0.363, 0.637)

Values from the calculation:
VASP energy = -7.770 eV per atom
Excess energy over the best structure of this formula in the dataset = 0.0000 eV/atom
Symmetry = C2/c (15)
DFT formation energy = -583 meV/atom

DFT (GGA-PBE) results for a geometry-optimized ZnTc2BPt structure.

a b c (Å): 4.608 4.512 4.608
angles (deg): 90.00 90.00 90.00
Element x y z (fractional)
Zn (0.000, 0.000, 0.000)
B (0.500, 0.500, 0.500)
Tc (0.000, 0.000, 0.500)
Tc (0.500, 0.000, 0.000)
Pt (0.000, 0.500, 0.000)

Values from the calculation:
VASP energy = -4.701 eV per atom
Symmetry = P4/mmm (123)
DFT formation energy = 2244 meV/atom

DFT (GGA-PBE) results for a geometry-optimized HfSbIrI2 structure.

a b c (Å): 5.285 5.285 5.229
angles (deg): 90.00 90.00 90.00
Element x y z (fractional)
I (0.000, 0.500, 0.000)
I (0.500, 0.000, 0.000)
Sb (0.000, 0.000, 0.500)
Ir (0.000, 0.000, 0.000)
Hf (0.500, 0.500, 0.500)

Values from the calculation:
Raw formation energy = 0.83 eV per atom
VASP energy = -4.378 eV per atom
Excess energy over the best structure of this formula in the dataset = 0.0000 eV/atom
Symmetry = P4/mmm (123)

DFT (GGA-PBE) results for a geometry-optimized Ac2Ga2BRu2 structure.

a b c (Å): 4.545 6.314 6.099
angles (deg): 77.90 68.12 68.90
Element x y z (fractional)
Ac (0.559, 0.182, 0.700)
Ac (0.441, 0.818, 0.300)
Ga (0.171, 0.390, 0.269)
Ga (0.829, 0.610, 0.731)
B (0.000, 0.000, 0.000)
Ru (0.203, 0.685, 0.909)
Ru (0.797, 0.315, 0.091)

Values from the calculation:
VASP energy = -6.120 eV per atom
Symmetry = C2/m (12)
DFT formation energy = -477 meV/atom

DFT (GGA-PBE) results for a geometry-optimized CeAlPt4 structure.

a b c (Å): 3.984 6.776 8.128
angles (deg): 90.00 104.18 90.00
Element x y z (fractional)
Ce (0.104, 0.250, 0.208)
Ce (0.896, 0.750, 0.792)
Al (0.232, 0.750, 0.464)
Al (0.768, 0.250, 0.536)
Pt (0.500, 0.500, 0.000)
Pt (0.500, 0.000, 0.000)
Pt (0.678, 0.957, 0.356)
Pt (0.322, 0.043, 0.644)
Pt (0.322, 0.457, 0.644)
Pt (0.678, 0.543, 0.356)
Pt (0.075, 0.750, 0.150)
Pt (0.925, 0.250, 0.850)

Values from the calculation:
VASP energy = -6.581 eV per atom
Excess energy over the best structure of this formula in the dataset = 0.0000 eV/atom
Symmetry = Cmcm (63)
DFT formation energy = -942 meV/atom

DFT (GGA-PBE) results for a geometry-optimized CrMo2 structure.

a b c (Å): 7.064 7.064 3.088
angles (deg): 90.00 90.00 120.00
Element x y z (fractional)
Cr (0.000, 0.000, 0.500)
Cr (0.333, 0.667, 0.000)
Cr (0.667, 0.333, 0.000)
Mo (0.000, 0.265, 0.000)
Mo (0.000, 0.584, 0.500)
Mo (0.265, 0.000, 0.000)
Mo (0.735, 0.735, 0.000)
Mo (0.584, 0.000, 0.500)
Mo (0.416, 0.416, 0.500)

Values from the calculation:
VASP energy = -10.088 eV per atom
Excess energy over the best structure of this formula in the dataset = 0.2896 eV/atom
Symmetry = P-62m (189)
DFT formation energy = 340 meV/atom

DFT (GGA-PBE) results for a geometry-optimized Dy5Ho2Th2 structure.

a b c (Å): 11.859 6.603 10.039
angles (deg): 109.20 126.20 90.00
Element x y z (fractional)
Dy (0.203, 0.660, 0.893)
Dy (0.797, 0.767, 0.107)
Dy (0.190, 0.160, 0.893)
Dy (0.810, 0.267, 0.107)
Dy (0.368, 0.047, 0.286)
Dy (0.632, 0.762, 0.714)
Dy (0.417, 0.547, 0.286)
Dy (0.583, 0.262, 0.714)
Dy (0.021, 0.656, 0.500)
Dy (0.979, 0.156, 0.500)
Ho (0.128, 0.674, 0.250)
Ho (0.872, 0.425, 0.750)
Ho (0.622, 0.174, 0.250)
Ho (0.378, 0.925, 0.750)
Th (0.000, 0.017, 0.000)
Th (0.500, 0.517, 0.000)
Th (0.248, 0.329, 0.500)
Th (0.752, 0.829, 0.500)

Values from the calculation:
VASP energy = -4.976 eV per atom
Excess energy over the best structure of this formula in the dataset = 0.0000 eV/atom
Symmetry = Ima2 (46)
DFT formation energy = 246 meV/atom

DFT (GGA-PBE) results for a geometry-optimized Na2CeUS6 structure.

a b c (Å): 6.825 7.292 10.013
angles (deg): 90.00 90.51 90.00
Element x y z (fractional)
Na (0.026, 0.922, 0.249)
Na (0.526, 0.578, 0.749)
Na (0.974, 0.078, 0.751)
Na (0.474, 0.422, 0.251)
Ce (0.500, 0.000, 0.000)
Ce (0.000, 0.500, 0.500)
U (0.500, 0.000, 0.500)
U (0.000, 0.500, 0.000)
S (0.302, 0.687, 0.061)
S (0.802, 0.813, 0.561)
S (0.698, 0.313, 0.939)
S (0.198, 0.187, 0.439)
S (0.319, 0.704, 0.436)
S (0.819, 0.796, 0.936)
S (0.681, 0.296, 0.564)
S (0.181, 0.204, 0.064)
S (0.884, 0.538, 0.241)
S (0.384, 0.962, 0.741)
S (0.116, 0.462, 0.759)
S (0.616, 0.038, 0.259)

Values from the calculation:
Raw formation energy = -1.31 eV per atom
VASP energy = -5.775 eV per atom
Symmetry = P2_1/c (14)

DFT (GGA-PBE) results for a geometry-optimized Pm2PrDy7 structure.

a b c (Å): 6.196 9.464 8.006
angles (deg): 114.99 130.18 77.33
Element x y z (fractional)
Pm (0.399, 0.797, 0.398)
Pm (0.601, 0.203, 0.602)
Pr (0.000, 0.000, 0.000)
Dy (0.101, 0.698, 0.600)
Dy (0.899, 0.302, 0.400)
Dy (0.800, 0.598, 0.799)
Dy (0.200, 0.402, 0.201)
Dy (0.701, 0.899, 0.200)
Dy (0.299, 0.101, 0.800)
Dy (0.500, 0.500, 0.000)

Values from the calculation:
VASP energy = -4.633 eV per atom
Excess energy over the best structure of this formula in the dataset = 0.0000 eV/atom
Symmetry = P-1 (2)
DFT formation energy = 17 meV/atom

DFT (GGA-PBE) results for a geometry-optimized PuPaNiPt structure.

a b c (Å): 4.684 4.684 4.684
angles (deg): 60.00 60.00 60.00
Element x y z (fractional)
Ni (0.250, 0.250, 0.250)
Pa (0.750, 0.750, 0.750)
Pt (0.500, 0.500, 0.500)
Pu (0.000, 0.000, 0.000)

Values from the calculation:
VASP energy = -9.552 eV per atom
Symmetry = F-43m (216)
DFT formation energy = -640 meV/atom

DFT (GGA-PBE) results for a geometry-optimized SmCdAs2 structure.

a b c (Å): 4.280 4.280 6.753
angles (deg): 71.53 71.53 60.00
Element x y z (fractional)
As (0.253, 0.253, 0.242)
As (0.747, 0.747, 0.758)
Sm (0.500, 0.500, 0.500)
Cd (0.000, 0.000, 0.000)

Values from the calculation:
VASP energy = -4.299 eV per atom
Excess energy over the best structure of this formula in the dataset = 0.0515 eV/atom
Symmetry = R-3m (166)
DFT formation energy = -565 meV/atom

DFT (GGA-PBE) results for a geometry-optimized KCuPb2 structure.

a b c (Å): 4.411 3.740 7.666
angles (deg): 75.88 90.00 90.00
Element x y z (fractional)
Cu (0.500, 0.250, 0.250)
K (0.500, 0.750, 0.750)
Pb (0.000, 0.074, 0.074)
Pb (0.000, 0.426, 0.426)

Values from the calculation:
VASP energy = -3.100 eV per atom
Symmetry = P2/m (10)
DFT formation energy = 53 meV/atom

DFT (GGA-PBE) results for a geometry-optimized Tb6GeP2S3 structure.

a b c (Å): 4.020 8.017 8.973
angles (deg): 102.84 102.94 90.00
Element x y z (fractional)
Tb (0.334, 0.912, 0.667)
Tb (0.669, 0.579, 0.338)
Tb (0.666, 0.088, 0.333)
Tb (0.001, 0.250, 0.003)
Tb (0.999, 0.750, 0.997)
Tb (0.331, 0.421, 0.662)
Ge (0.500, 0.000, 0.000)
P (0.833, 0.665, 0.665)
P (0.167, 0.335, 0.335)
S (0.500, 0.500, 0.000)
S (0.833, 0.168, 0.666)
S (0.167, 0.832, 0.334)

Values from the calculation:
Raw formation energy = -1.74 eV per atom
VASP energy = -6.378 eV per atom
Symmetry = C2/m (12)

DFT (GGA-PBE) results for a geometry-optimized AgTePt4 structure.

a b c (Å): 5.370 5.370 5.370
angles (deg): 60.00 60.00 60.00
Element x y z (fractional)
Ag (0.000, 0.000, 0.000)
Te (0.750, 0.750, 0.750)
Pt (0.875, 0.375, 0.375)
Pt (0.375, 0.375, 0.875)
Pt (0.375, 0.875, 0.375)
Pt (0.375, 0.375, 0.375)

Values from the calculation:
Raw formation energy = 0.12 eV per atom
VASP energy = -4.906 eV per atom
Symmetry = F-43m (216)

DFT (GGA-PBE) results for a geometry-optimized Tb2CeHg structure.

a b c (Å): 3.602 3.602 8.647
angles (deg): 90.00 90.00 90.00
Element x y z (fractional)
Tb (0.000, 0.000, 0.770)
Tb (0.000, 0.000, 0.230)
Hg (0.500, 0.500, 0.000)
Ce (0.500, 0.500, 0.500)

Values from the calculation:
VASP energy = -4.073 eV per atom
Excess energy over the best structure of this formula in the dataset = 0.0000 eV/atom
Symmetry = P4/mmm (123)
DFT formation energy = -199 meV/atom

DFT (GGA-PBE) results for a geometry-optimized HgAs2Ir structure.

a b c (Å): 4.877 4.877 3.050
angles (deg): 90.00 90.00 90.00
Element x y z (fractional)
As (0.000, 0.000, 0.000)
As (0.500, 0.500, 0.000)
Ir (0.000, 0.500, 0.500)
Hg (0.500, 0.000, 0.500)

Values from the calculation:
VASP energy = -4.079 eV per atom
Symmetry = P4/mmm (123)
DFT formation energy = 537 meV/atom

DFT (GGA-PBE) results for a geometry-optimized Sc2FeOs3 structure.

a b c (Å): 5.216 5.216 5.108
angles (deg): 89.91 120.72 120.08
Element x y z (fractional)
Sc (0.751, 0.376, 0.127)
Sc (0.249, 0.624, 0.873)
Fe (0.000, 0.000, 0.000)
Os (0.500, 0.500, 0.500)
Os (0.000, 0.000, 0.500)
Os (0.500, 0.000, 0.500)

Values from the calculation:
VASP energy = -9.499 eV per atom
Symmetry = R-3m (166)
DFT formation energy = -363 meV/atom

DFT (GGA-PBE) results for a geometry-optimized Yb2Ti2O7 structure.

a b c (Å): 7.201 7.201 7.201
angles (deg): 60.00 60.00 60.00
Element x y z (fractional)
Yb (0.625, 0.125, 0.625)
Yb (0.625, 0.625, 0.125)
Yb (0.125, 0.625, 0.625)
Yb (0.625, 0.625, 0.625)
Ti (0.125, 0.625, 0.125)
Ti (0.125, 0.125, 0.625)
Ti (0.625, 0.125, 0.125)
Ti (0.125, 0.125, 0.125)
O (0.750, 0.750, 0.750)
O (0.500, 0.500, 0.500)
O (0.797, 0.203, 0.203)
O (0.203, 0.797, 0.797)
O (0.203, 0.203, 0.797)
O (0.797, 0.797, 0.203)
O (0.203, 0.797, 0.203)
O (0.797, 0.203, 0.797)
O (0.453, 0.047, 0.047)
O (0.047, 0.453, 0.453)
O (0.047, 0.047, 0.453)
O (0.453, 0.453, 0.047)
O (0.047, 0.453, 0.047)
O (0.453, 0.047, 0.453)

Values from the calculation:
Raw formation energy = -2.96 eV per atom
VASP energy = -7.826 eV per atom
Symmetry = Fd-3m (227)

DFT (GGA-PBE) results for a geometry-optimized Ce2HoSb3 structure.

a b c (Å): 4.456 6.309 7.717
angles (deg): 114.13 106.78 90.00
Element x y z (fractional)
Ce (0.668, 0.168, 0.336)
Ce (0.332, 0.832, 0.664)
Ho (0.000, 0.500, 0.000)
Sb (0.337, 0.337, 0.674)
Sb (0.000, 0.000, 0.000)
Sb (0.663, 0.663, 0.326)

Values from the calculation:
Raw formation energy = -1.06 eV per atom
VASP energy = -5.864 eV per atom
Excess energy over the best structure of this formula in the dataset = 0.0000 eV/atom
Symmetry = Immm (71)

DFT (GGA-PBE) results for a geometry-optimized AcNd2In2Cu2 structure.

a b c (Å): 4.770 4.770 10.103
angles (deg): 76.35 76.35 60.00
Element x y z (fractional)
Ac (0.000, 0.000, 0.000)
Nd (0.128, 0.128, 0.617)
Nd (0.872, 0.872, 0.383)
In (0.743, 0.743, 0.772)
In (0.257, 0.257, 0.228)
Cu (0.591, 0.591, 0.226)
Cu (0.409, 0.409, 0.774)

Values from the calculation:
VASP energy = -4.153 eV per atom
Symmetry = R-3m (166)
DFT formation energy = -251 meV/atom

DFT (GGA-PBE) results for a geometry-optimized BaAlHg2 structure.

a b c (Å): 4.347 3.881 7.274
angles (deg): 74.15 90.00 90.00
Element x y z (fractional)
Al (0.500, 0.250, 0.250)
Hg (0.000, 0.081, 0.049)
Hg (0.000, 0.419, 0.451)
Ba (0.500, 0.750, 0.750)

Values from the calculation:
VASP energy = -1.774 eV per atom
Symmetry = P2/m (10)
DFT formation energy = -207 meV/atom

DFT (GGA-PBE) results for a geometry-optimized CdPt structure.

a b c (Å): 4.339 4.339 4.339
angles (deg): 60.00 60.00 60.00
Element x y z (fractional)
Pt (0.250, 0.250, 0.250)
Cd (0.000, 0.000, 0.000)

Values from the calculation:
VASP energy = -2.907 eV per atom
Symmetry = F-43m (216)
DFT formation energy = 571 meV/atom

DFT (GGA-PBE) results for a geometry-optimized Y4BeCd structure.

a b c (Å): 6.237 6.237 6.237
angles (deg): 60.00 60.00 60.00
Element x y z (fractional)
Y (0.874, 0.375, 0.375)
Y (0.375, 0.375, 0.874)
Y (0.375, 0.874, 0.375)
Y (0.375, 0.375, 0.375)
Be (0.750, 0.750, 0.750)
Cd (0.000, 0.000, 0.000)

Values from the calculation:
VASP energy = -4.430 eV per atom
Symmetry = F-43m (216)
DFT formation energy = 653 meV/atom

| no. | spin magnetization (μB/atom) | calculated density (g cm⁻³) |
| --- | --- | --- |
| 1 | 0.00 | 8.23 |
| 2 | 0.00 | 7.90 |
| 3 | 0.98 | 8.10 |
| 4 | 0.10 | 8.48 |
| 5 | 0.00 | 8.87 |
| 6 | 0.06 | 14.79 |
| 7 | 0.00 | 9.11 |
| 8 | 0.00 | 9.21 |
| 9 | 0.00 | 4.11 |
| 10 | 0.00 | 8.04 |
| 11 | 1.29 | 16.66 |
| 12 | 0.00 | 6.87 |
| 13 | 0.00 | 7.00 |
| 14 | 0.00 | 7.17 |
| 15 | 0.00 | 15.40 |
| 16 | 0.08 | 9.75 |
| 17 | 0.00 | 12.42 |
| 18 | 0.32 | 12.25 |
| 19 | 0.19 | 6.97 |
| 20 | 0.27 | 7.16 |
| 21 | 0.00 | 7.56 |
| 22 | 0.00 | 7.95 |
| 23 | 0.00 | 8.84 |
| 24 | 0.00 | 4.62 |